Here is crystalline La3Zn4Pd4 at its relaxed geometry from Alexandria. Energies are from GGA-PBEsol.

Lattice parameters (Å, degrees): 4.1770 7.3155 8.2556 116.30 104.65 90.00
Element x y z (fractional)
La 0.0000 0.5000 0.0000
La 0.8713 0.8713 0.7426
La 0.1287 0.1287 0.2574
Zn 0.6737 0.4826 0.3475
Zn 0.6737 0.8649 0.3475
Zn 0.3263 0.1351 0.6525
Zn 0.3263 0.5174 0.6525
Pd 0.7838 0.2838 0.5675
Pd 0.2162 0.7162 0.4325
Pd 0.5000 0.8040 0.0000
Pd 0.5000 0.1960 0.0000

Values from the calculation:
Crystal system: orthorhombic
Size of the total moment: 0.000 μB per cell
Formation enthalpy at 0 K: -712 kJ/mol of formula units
DFT total energy: -4.871 eV/atom